VASP calculation (PBE with a Hubbard U) on Sr2ZrMnO6 after structural relaxation.

Lattice parameters (Å, degrees): 4.103 4.103 8.003 90.00 90.00 90.00
Space group P4/mmm (No. 123)
Unique sites:
Sr  0.000  0.000  0.229 x2
Zr  0.500  0.500  0.500 x1
Mn  0.500  0.500  0.000 x1
O  0.000  0.500  0.000 x2
O  0.000  0.500  0.500 x2
O  0.500  0.500  0.236 x2

ΔE to the lowest computed polymorph	0.0543	eV/atom
Fermi-level density of states	5.06	states/eV/f.u.
uncorrected energy	-7.511	eV per atom
magnetization	3.23	μB per formula unit